Entry 1:
Below is a relaxed structure of LaPr5Dy8, with properties calculated at the PBE level.

Structure (extended XYZ):
```
14
Lattice="8.7801 -1.7898 0.0000 8.7801 1.7898 0.0000 -8.0463 0.0000 14.9811" Properties=species:S:1:pos:R:3 pbc="T T T"
La 0.0000 0.0000 0.0000
Pr -1.0072 0.0000 6.5960
Pr 2.5917 0.0000 2.1539
Pr 4.7569 0.0000 7.4906
Pr 6.9221 0.0000 12.8272
Pr 10.5210 0.0000 8.3852
Dy -4.3915 0.0000 10.8376
Dy 2.1303 0.0000 5.2989
Dy 5.6971 0.0000 0.9289
Dy 1.1622 0.0000 11.6209
Dy 8.3517 0.0000 3.3603
Dy 3.8167 0.0000 14.0522
Dy 7.3836 0.0000 9.6822
Dy 13.9053 0.0000 4.1435
```

Results
M_tot in μB per formula unit: 0.000
Formation energy from the elements in eV/f.u.: 0.6
Raw total energy in eV per cell: -65.02

Entry 2:
Below is a relaxed structure of La5Pr6Dy2, with properties calculated at the PBE level.

Structure (extended XYZ):
```
26
Lattice="11.9556 0.0000 0.0000 0.0000 21.3035 0.0000 0.0000 0.0000 3.6981" Properties=species:S:1:pos:R:3 pbc="T T T"
La 0.0000 0.0000 0.0000
La 1.0097 5.7741 0.0000
La 2.3594 11.7457 0.0000
La 3.6184 1.0940 0.0000
La 4.9681 16.4258 0.0000
La 5.9778 10.6517 0.0000
La 6.9875 4.8776 0.0000
La 8.3372 20.2095 0.0000
La 9.5962 9.5578 0.0000
La 10.9459 15.5294 0.0000
Pr 0.7346 8.8972 1.8490
Pr 1.0155 2.7714 1.8490
Pr 2.0831 18.3017 0.0000
Pr 3.8947 7.6500 0.0000
Pr 4.9623 13.4232 1.8490
Pr 5.2432 19.5490 1.8490
Pr 6.7124 1.7545 1.8490
Pr 6.9933 7.8803 1.8490
Pr 8.0609 13.6535 0.0000
Pr 9.8725 3.0017 0.0000
Pr 10.9401 18.5320 1.8490
Pr 11.2210 12.4062 1.8490
Dy 2.0305 15.1011 1.8490
Dy 3.9473 4.4494 1.8490
Dy 8.0083 16.8541 1.8490
Dy 9.9251 6.2023 1.8490
```

Results
M_tot in μB per formula unit: 0.000
Formation energy from the elements in eV/f.u.: 1.0
Raw total energy in eV per cell: -122.97

Entry 3:
Below is a relaxed structure of La2Pr5Dy12, with properties calculated at the PBE level.

Structure (extended XYZ):
```
19
Lattice="6.8757 0.0000 0.0000 2.9489 6.2273 0.0000 2.6111 -0.5227 14.9529" Properties=species:S:1:pos:R:3 pbc="T T T"
La 1.7554 0.0568 0.4808
La 10.6803 5.6478 14.4721
Pr 3.1549 3.2572 5.7434
Pr 5.8287 2.6412 14.4354
Pr 6.2178 2.8523 7.4765
Pr 6.6069 3.0634 0.5175
Pr 9.2807 2.4474 9.2095
Dy 3.3037 1.0299 12.3131
Dy 2.0718 0.2065 6.2842
Dy 4.9238 4.0963 11.2833
Dy 7.1226 5.8024 9.1857
Dy 4.1229 1.5221 2.8217
Dy 5.7293 4.5758 3.6667
Dy 6.7064 1.1288 11.2862
Dy 8.3127 4.1825 12.1312
Dy 5.3131 -0.0978 5.7672
Dy 7.5118 1.6083 3.6696
Dy 10.3638 5.4981 8.6687
Dy 9.1319 4.6748 2.6398
```

Results
M_tot in μB per formula unit: 0.000
Formation energy from the elements in eV/f.u.: 1.8
Energy above the lowest structure with this stoichiometry in eV per formula unit: 0.000
Raw total energy in eV per cell: -87.18

Entry 4:
Below is a relaxed structure of La2Pr7Dy3, with properties calculated at the PBE level.

Structure (extended XYZ):
```
12
Lattice="2.9639 -19.5132 0.0000 2.9639 19.5132 0.0000 0.0000 0.0000 3.6909" Properties=species:S:1:pos:R:3 pbc="T T T"
La 2.9639 13.6925 0.0000
La 2.9639 -13.6925 0.0000
Pr 0.0000 0.0000 0.0000
Pr 2.9639 16.7122 1.8455
Pr 2.9639 10.4723 0.0000
Pr 2.9639 3.5234 0.0000
Pr 2.9639 -3.5234 0.0000
Pr 2.9639 -10.4723 0.0000
Pr 2.9639 -16.7122 1.8455
Dy 2.9639 7.2480 1.8455
Dy 2.9639 0.0000 1.8455
Dy 2.9639 -7.2480 1.8455
```

Results
M_tot in μB per formula unit: 0.000
Formation energy from the elements in eV/f.u.: 1.4
Energy above the lowest structure with this stoichiometry in eV per formula unit: 0.620
Raw total energy in eV per cell: -55.73

Entry 5:
Below is a relaxed structure of LaPr2Dy, with properties calculated at the PBE level.

Structure (extended XYZ):
```
4
Lattice="0.0000 4.1428 4.1428 4.1428 0.0000 4.1428 4.1428 4.1428 0.0000" Properties=species:S:1:pos:R:3 pbc="T T T"
La 0.0000 0.0000 0.0000
Pr 2.0714 2.0714 2.0714
Pr 6.2143 6.2143 6.2143
Dy 4.1428 4.1428 4.1428
```

Results
M_tot in μB per formula unit: 1.004
Formation energy from the elements in eV/f.u.: 0.6
Energy above the lowest structure with this stoichiometry in eV per formula unit: 0.510
Raw total energy in eV per cell: -18.52

Entry 6:
Below is a relaxed structure of La3PrDy4, with properties calculated at the PBE level.

Structure (extended XYZ):
```
8
Lattice="-1.7485 5.9282 6.6509 1.7485 -5.9282 6.6509 1.7485 5.9282 -6.6509" Properties=species:S:1:pos:R:3 pbc="T T T"
La 0.0000 0.0000 0.0000
La 1.7485 0.0000 3.4317
La 0.0000 5.9282 3.2192
Pr 0.0000 0.0000 6.6509
Dy 1.7485 2.9776 -1.7911
Dy 1.7485 2.9776 1.7911
Dy 0.0000 2.9507 4.8598
Dy 0.0000 2.9507 8.4420
```

Results
M_tot in μB per formula unit: 0.000
Formation energy from the elements in eV/f.u.: 1.1
Energy above the lowest structure with this stoichiometry in eV per formula unit: 0.786
Raw total energy in eV per cell: -36.91

Entry 7:
Below is a relaxed structure of La2Pr5Dy12, with properties calculated at the PBE level.

Structure (extended XYZ):
```
19
Lattice="7.9008 -4.6900 0.0000 7.9008 4.6900 0.0000 -0.3041 0.0000 8.7332" Properties=species:S:1:pos:R:3 pbc="T T T"
La 7.9008 3.0263 0.0000
La 7.9008 -3.0263 0.0000
Pr 3.2510 0.0000 0.1546
Pr 4.1275 0.0000 3.7332
Pr 7.7488 0.0000 4.3666
Pr 11.3700 0.0000 5.0001
Pr 12.2466 0.0000 8.5786
Dy 0.8123 0.0000 2.9341
Dy 5.7641 2.9159 2.9549
Dy 5.3093 1.6664 6.6164
Dy 9.7334 2.9159 5.7784
Dy 6.6174 0.0000 1.0710
Dy 10.1883 1.6664 2.1168
Dy 5.3093 -1.6664 6.6164
Dy 8.8802 0.0000 7.6623
Dy 5.7641 -2.9159 2.9549
Dy 10.1883 -1.6664 2.1168
Dy 9.7334 -2.9159 5.7784
Dy 14.6853 0.0000 5.7991
```

Results
M_tot in μB per formula unit: 0.000
Formation energy from the elements in eV/f.u.: 2.5
Energy above the lowest structure with this stoichiometry in eV per formula unit: 0.689
Raw total energy in eV per cell: -86.49

Entry 8:
Below is a relaxed structure of LaPr2Dy, with properties calculated at the PBE level.

Structure (extended XYZ):
```
4
Lattice="6.1199 -1.8465 0.0000 6.1199 1.8465 0.0000 -1.1114 0.0000 6.2388" Properties=species:S:1:pos:R:3 pbc="T T T"
La 0.0000 0.0000 0.0000
Pr 2.2047 0.0000 4.6681
Pr 8.9236 0.0000 1.5707
Dy 5.5642 0.0000 3.1194
```

Results
M_tot in μB per formula unit: 0.000
Formation energy from the elements in eV/f.u.: 0.1
Energy above the lowest structure with this stoichiometry in eV per formula unit: 0.018
Raw total energy in eV per cell: -19.01

Entry 9:
Below is a relaxed structure of LaPr6Dy2, with properties calculated at the PBE level.

Structure (extended XYZ):
```
9
Lattice="10.2264 0.0000 0.0000 -5.1132 8.8563 0.0000 0.0000 0.0000 3.5096" Properties=species:S:1:pos:R:3 pbc="T T T"
La 0.0000 0.0000 0.0000
Pr -1.7483 3.0282 0.7907
Pr -3.3649 5.8281 2.7190
Pr 3.4967 0.0000 0.7907
Pr 1.7483 3.0282 2.7190
Pr 6.7297 0.0000 2.7190
Pr 3.3649 5.8281 0.7907
Dy 0.0000 5.9042 1.7548
Dy 5.1132 2.9521 1.7548
```

Results
M_tot in μB per formula unit: 0.299
Formation energy from the elements in eV/f.u.: 1.1
Energy above the lowest structure with this stoichiometry in eV per formula unit: 0.951
Raw total energy in eV per cell: -41.69

Entry 10:
Below is a relaxed structure of La4Pr3Dy2, with properties calculated at the PBE level.

Structure (extended XYZ):
```
9
Lattice="6.3657 0.0000 0.0000 3.1823 5.5336 0.0000 3.1289 1.8141 9.0643" Properties=species:S:1:pos:R:3 pbc="T T T"
La 1.5746 0.9278 0.0020
La 5.7819 4.5914 6.0267
La 6.8950 2.7564 3.0376
La 11.1022 6.4200 9.0624
Pr 3.6995 0.9138 3.0325
Pr 4.7740 2.7668 0.0000
Pr 8.9774 6.4340 6.0319
Dy 3.6906 4.5929 3.0424
Dy 8.9862 2.7548 6.0220
```

Results
M_tot in μB per formula unit: 0.000
Formation energy from the elements in eV/f.u.: 0.2
Raw total energy in eV per cell: -43.09

Entry 11:
Below is a relaxed structure of LaPr5Dy3, with properties calculated at the PBE level.

Structure (extended XYZ):
```
18
Lattice="7.7328 -5.9120 0.0000 7.7328 5.9120 0.0000 -6.3727 0.0000 7.6966" Properties=species:S:1:pos:R:3 pbc="T T T"
La 1.1853 0.0000 3.2239
La 7.9075 0.0000 4.4727
Pr 3.9006 2.9469 2.0226
Pr 3.1789 0.0000 0.4223
Pr 7.7328 2.9049 0.0000
Pr -0.7147 0.0000 5.9214
Pr 5.1922 2.9469 5.6740
Pr 3.9006 -2.9469 2.0226
Pr 9.8075 0.0000 1.7752
Pr 7.7328 -2.9049 0.0000
Pr 5.9140 0.0000 7.2743
Pr 5.1922 -2.9469 5.6740
Dy 0.0000 0.0000 0.0000
Dy -2.0429 0.0000 2.6980
Dy 6.5264 0.0000 1.3646
Dy 4.5464 0.0000 3.8483
Dy 2.5664 0.0000 6.3321
Dy 11.1357 0.0000 4.9986
```

Results
M_tot in μB per formula unit: 0.000
Formation energy from the elements in eV/f.u.: 4.0
Energy above the lowest structure with this stoichiometry in eV per formula unit: 1.554
Raw total energy in eV per cell: -77.36

Entry 12:
Below is a relaxed structure of La2PrDy5, with properties calculated at the PBE level.

Structure (extended XYZ):
```
32
Lattice="8.5481 0.0000 0.0000 2.3754 11.0422 0.0000 2.0700 0.1935 11.4651" Properties=species:S:1:pos:R:3 pbc="T T T"
La 2.3375 5.0681 3.0373
La 3.1161 9.0366 1.9978
La 4.7151 6.6625 10.9771
La 1.9043 1.7298 0.9975
La 11.0892 9.5058 10.4677
La 8.2783 4.5732 0.4880
La 9.8774 2.1990 9.4673
La 10.6560 6.1675 8.4278
Pr 4.5798 2.3515 3.7297
Pr 6.0806 8.5466 4.6390
Pr 6.9129 2.6891 6.8262
Pr 8.4136 8.8842 7.7354
Dy 1.9023 3.2296 6.1600
Dy 1.7590 0.2784 4.2858
Dy 4.9000 8.3187 7.8152
Dy 4.4240 3.6039 9.1101
Dy 6.0457 10.1854 10.2791
Dy 4.7460 5.3435 6.0442
Dy 3.9390 0.5829 7.0619
Dy 4.8089 3.6836 0.1843
Dy 6.5391 10.3121 1.6315
Dy 5.8038 5.6486 2.7949
Dy 7.1897 5.5870 8.6702
Dy 6.4543 0.9236 9.8336
Dy 8.1846 7.5520 11.2808
Dy 9.0544 10.6527 4.4032
Dy 8.2474 5.8921 5.4210
Dy 6.9477 1.0503 1.1860
Dy 8.5695 7.6318 2.3550
Dy 8.0935 2.9169 3.6499
Dy 11.2344 10.9573 7.1793
Dy 11.0912 8.0060 5.3051
```

Results
M_tot in μB per formula unit: 0.000
Formation energy from the elements in eV/f.u.: 0.5
Energy above the lowest structure with this stoichiometry in eV per formula unit: 0.300
Raw total energy in eV per cell: -148.54

> What is the raw total energy in the sixth record?

-36.91 eV per cell

> Among the records above, which one has the highest raw total energy?

number 5

What did the first record say?
Below is a relaxed structure of LaPr5Dy8, with properties calculated at the PBE level.

Structure (extended XYZ):
```
14
Lattice="8.7801 -1.7898 0.0000 8.7801 1.7898 0.0000 -8.0463 0.0000 14.9811" Properties=species:S:1:pos:R:3 pbc="T T T"
La 0.0000 0.0000 0.0000
Pr -1.0072 0.0000 6.5960
Pr 2.5917 0.0000 2.1539
Pr 4.7569 0.0000 7.4906
Pr 6.9221 0.0000 12.8272
Pr 10.5210 0.0000 8.3852
Dy -4.3915 0.0000 10.8376
Dy 2.1303 0.0000 5.2989
Dy 5.6971 0.0000 0.9289
Dy 1.1622 0.0000 11.6209
Dy 8.3517 0.0000 3.3603
Dy 3.8167 0.0000 14.0522
Dy 7.3836 0.0000 9.6822
Dy 13.9053 0.0000 4.1435
```

Results
M_tot in μB per formula unit: 0.000
Formation energy from the elements in eV/f.u.: 0.6
Raw total energy in eV per cell: -65.02